# 1
! Sm4BiSe2 (PBE, relaxed); values from VASP
&SYSTEM
  ibrav = 0, nat = 14, ntyp = 3
/
ATOMIC_SPECIES
Sm 150.36 Sm.upf
Bi 208.98 Bi.upf
Se 78.96 Se.upf
ATOMIC_POSITIONS angstrom
Sm 0.0000 0.0000 0.0000
Sm 0.0000 0.0000 7.0652
Sm 2.1275 3.1584 8.7564
Sm 2.1275 3.1584 12.4391
Sm 2.1275 0.9042 3.5326
Sm 2.1275 -0.9042 10.5978
Sm 2.1275 -3.1584 1.6913
Sm 2.1275 -3.1584 5.3739
Bi 2.1275 5.3673 3.5326
Bi 2.1275 -5.3673 10.5978
Se 2.1275 1.8418 0.8456
Se 2.1275 1.8418 6.2196
Se 2.1275 -1.8418 7.9108
Se 2.1275 -1.8418 13.2848
CELL_PARAMETERS angstrom
2.1275 -6.8202 0.0000
2.1275 6.8202 0.0000
0.0000 0.0000 14.1304
! Magnetic moment   0.0 μB/cell
! Raw formation energy   -1.30 eV per atom

# 2
! SmBiSe3 (PBE, relaxed); values from VASP
&SYSTEM
  ibrav = 0, nat = 10, ntyp = 3
/
ATOMIC_SPECIES
Sm 150.36 Sm.upf
Bi 208.98 Bi.upf
Se 78.96 Se.upf
ATOMIC_POSITIONS angstrom
Sm 0.6642 1.0538 4.9373
Sm 4.5026 3.1615 5.4839
Bi 0.7668 1.0538 8.8665
Bi 4.4000 3.1615 1.5546
Se -0.6737 3.1615 3.5148
Se 1.9285 3.1615 0.0313
Se 1.8491 3.1615 6.7280
Se 3.3176 1.0538 3.6931
Se 3.2382 1.0538 10.3898
Se 5.8405 1.0538 6.9063
CELL_PARAMETERS angstrom
7.4137 0.0000 0.0000
0.0000 4.2153 0.0000
-2.2470 0.0000 10.4211
! Magnetic moment   0.0 μB/cell
! Polymorph energy (0 for the lowest one)   0 meV per atom
! Raw formation energy   -1.11 eV per atom

# 3
! SmBiSe (PBE, relaxed); values from VASP
&SYSTEM
  ibrav = 0, nat = 3, ntyp = 3
/
ATOMIC_SPECIES
Sm 150.36 Sm.upf
Bi 208.98 Bi.upf
Se 78.96 Se.upf
ATOMIC_POSITIONS angstrom
Sm 0.0000 0.0000 0.0000
Bi 0.0000 0.0000 3.6161
Se 0.0000 0.0000 7.0297
CELL_PARAMETERS angstrom
-1.9055 1.9055 5.9218
1.9055 -1.9055 5.9218
1.9055 1.9055 -5.9218
! Magnetic moment   0.0 μB/cell
! Raw formation energy   -1.00 eV per atom

# 4
! Sm6Sn2BiSe3 (PBE, relaxed); values from VASP
&SYSTEM
  ibrav = 0, nat = 12, ntyp = 4
/
ATOMIC_SPECIES
Sm 150.36 Sm.upf
Sn 118.71 Sn.upf
Bi 208.98 Bi.upf
Se 78.96 Se.upf
ATOMIC_POSITIONS angstrom
Sm -0.4617 0.0000 2.0297
Sm 17.4661 0.0000 6.4557
Sm 5.4283 0.0000 3.5382
Sm 4.5717 0.0000 7.7421
Sm 12.4327 0.0000 0.7433
Sm 11.5762 0.0000 4.9471
Sn 1.5451 0.0000 7.0766
Sn 15.4593 0.0000 1.4088
Bi 8.5022 0.0000 4.2427
Se 2.4864 0.0000 2.8323
Se 9.4714 0.0000 0.0000
Se 14.5180 0.0000 5.6530
CELL_PARAMETERS angstrom
9.4714 -2.1799 0.0000
9.4714 2.1799 0.0000
-1.9384 0.0000 8.4854
! Magnetic moment   0.0 μB/cell
! Raw formation energy   -1.30 eV per atom

# 5
! Sm6Bi3TeSe2 (PBE, relaxed); values from VASP
&SYSTEM
  ibrav = 0, nat = 12, ntyp = 4
/
ATOMIC_SPECIES
Sm 150.36 Sm.upf
Bi 208.98 Bi.upf
Te 127.60 Te.upf
Se 78.96 Se.upf
ATOMIC_POSITIONS angstrom
Sm -0.3477 0.0000 2.1985
Sm 5.4455 0.0000 3.6698
Sm 4.5221 0.0000 7.7411
Sm 12.7276 0.0000 0.8523
Sm 11.8041 0.0000 4.9236
Sm 17.5973 0.0000 6.3949
Bi 1.4422 0.0000 7.1438
Bi 8.6248 0.0000 4.2967
Bi 15.8075 0.0000 1.4496
Te 9.6339 0.0000 0.0000
Se 2.5672 0.0000 2.8670
Se 14.6825 0.0000 5.7264
CELL_PARAMETERS angstrom
9.6339 -2.2075 0.0000
9.6339 2.2075 0.0000
-2.0180 0.0000 8.5934
! Magnetic moment   0.0 μB/cell
! Raw formation energy   -1.29 eV per atom

# 6
! Sm4BiTe2Se (PBE, relaxed); values from VASP
&SYSTEM
  ibrav = 0, nat = 8, ntyp = 4
/
ATOMIC_SPECIES
Sm 150.36 Sm.upf
Bi 208.98 Bi.upf
Te 127.60 Te.upf
Se 78.96 Se.upf
ATOMIC_POSITIONS angstrom
Sm 1.1610 0.0000 1.6498
Sm -0.1072 2.1925 5.5251
Sm 5.2456 2.1925 1.7266
Sm 3.9774 0.0000 5.6019
Bi 3.8270 0.0000 0.0000
Te -1.2579 0.0000 3.6258
Te 2.5692 2.1925 3.6258
Se 0.0000 2.1925 0.0000
CELL_PARAMETERS angstrom
7.6541 0.0000 0.0000
0.0000 4.3851 0.0000
-2.5158 0.0000 7.2517
! Magnetic moment   0.0 μB/cell
! Raw formation energy   -1.38 eV per atom

# 7
! Sm4BiTeSe2 (PBE, relaxed); values from VASP
&SYSTEM
  ibrav = 0, nat = 8, ntyp = 4
/
ATOMIC_SPECIES
Sm 150.36 Sm.upf
Bi 208.98 Bi.upf
Te 127.60 Te.upf
Se 78.96 Se.upf
ATOMIC_POSITIONS angstrom
Sm 1.2257 0.0000 1.5859
Sm -0.0103 2.1572 5.5736
Sm 4.9870 2.1572 1.6027
Sm 3.7510 0.0000 5.5904
Bi -1.2436 0.0000 3.5882
Te 2.4883 2.1572 3.5882
Se 0.0000 2.1572 0.0000
Se 3.7319 0.0000 0.0000
CELL_PARAMETERS angstrom
7.4638 0.0000 0.0000
0.0000 4.3144 0.0000
-2.4872 0.0000 7.1764
! Magnetic moment   0.0 μB/cell
! Raw formation energy   -1.49 eV per atom

# 8
! Sm4Bi2TeSe (PBE, relaxed); values from VASP
&SYSTEM
  ibrav = 0, nat = 8, ntyp = 4
/
ATOMIC_SPECIES
Sm 150.36 Sm.upf
Bi 208.98 Bi.upf
Te 127.60 Te.upf
Se 78.96 Se.upf
ATOMIC_POSITIONS angstrom
Sm 1.2002 0.0000 1.7148
Sm -0.0964 2.2245 5.4964
Sm 5.1737 2.2245 1.7649
Sm 3.8771 0.0000 5.5465
Bi 3.8322 0.0000 0.0000
Bi 2.5386 2.2245 3.6306
Te -1.2936 0.0000 3.6306
Se 0.0000 2.2245 0.0000
CELL_PARAMETERS angstrom
7.6644 0.0000 0.0000
0.0000 4.4490 0.0000
-2.5871 0.0000 7.2613
! Magnetic moment   0.0 μB/cell
! Raw formation energy   -1.25 eV per atom

# 9
! Sm6BiTe2Se3 (PBE, relaxed); values from VASP
&SYSTEM
  ibrav = 0, nat = 12, ntyp = 4
/
ATOMIC_SPECIES
Sm 150.36 Sm.upf
Bi 208.98 Bi.upf
Te 127.60 Te.upf
Se 78.96 Se.upf
ATOMIC_POSITIONS angstrom
Sm -0.3824 0.0000 1.9935
Sm 5.2772 0.0000 3.6958
Sm 4.5363 0.0000 7.6150
Sm 12.2770 0.0000 0.8460
Sm 11.5361 0.0000 4.7652
Sm 17.1956 0.0000 6.4675
Bi 8.4066 0.0000 4.2305
Te 1.3989 0.0000 7.0534
Te 15.4144 0.0000 1.4076
Se 2.4529 0.0000 2.8041
Se 9.4729 0.0000 0.0000
Se 14.3604 0.0000 5.6569
CELL_PARAMETERS angstrom
9.4729 -2.1505 0.0000
9.4729 2.1505 0.0000
-2.1325 0.0000 8.4610
! Magnetic moment   0.0 μB/cell
! Raw formation energy   -1.53 eV per atom

# 10
! Sm3Tl3BiSe8 (PBE, relaxed); values from VASP
&SYSTEM
  ibrav = 0, nat = 15, ntyp = 4
/
ATOMIC_SPECIES
Sm 150.36 Sm.upf
Tl 204.38 Tl.upf
Bi 208.98 Bi.upf
Se 78.96 Se.upf
ATOMIC_POSITIONS angstrom
Sm -2.1345 -1.2324 7.5840
Sm -2.1345 1.2324 15.1679
Sm 0.0000 2.4648 7.5839
Tl -4.2691 0.0000 11.3759
Tl -2.1345 1.2324 3.7920
Tl 2.1345 1.2324 3.7920
Bi 0.0000 0.0000 0.0000
Se 0.0000 -2.4416 9.1915
Se -2.1145 1.2208 9.1915
Se 0.0000 0.0000 5.9661
Se -2.1145 -1.2208 13.5604
Se 2.1145 1.2208 9.1915
Se 0.0000 0.0000 16.7857
Se 2.1145 -1.2208 13.5604
Se 0.0000 2.4416 13.5604
CELL_PARAMETERS angstrom
4.2691 2.4648 7.5840
-4.2691 2.4648 7.5840
0.0000 -4.9295 7.5840
! Magnetic moment   0.0 μB/cell
! Raw formation energy   -1.13 eV per atom

# 11
! Sm4TlBiSe2 (PBE, relaxed); values from VASP
&SYSTEM
  ibrav = 0, nat = 8, ntyp = 4
/
ATOMIC_SPECIES
Sm 150.36 Sm.upf
Tl 204.38 Tl.upf
Bi 208.98 Bi.upf
Se 78.96 Se.upf
ATOMIC_POSITIONS angstrom
Sm 1.2469 0.0000 1.6946
Sm 0.0593 2.1379 5.5634
Sm 5.0355 2.1379 1.6828
Sm 3.8479 0.0000 5.5516
Tl -1.2154 0.0000 3.6231
Bi 2.5474 2.1379 3.6231
Se 0.0000 2.1379 0.0000
Se 3.7628 0.0000 0.0000
CELL_PARAMETERS angstrom
7.5256 0.0000 0.0000
0.0000 4.2757 0.0000
-2.4308 0.0000 7.2462
! Magnetic moment   0.0 μB/cell
! Raw formation energy   -1.19 eV per atom

# 12
! SmTmBiSe (PBE, relaxed); values from VASP
&SYSTEM
  ibrav = 0, nat = 4, ntyp = 4
/
ATOMIC_SPECIES
Sm 150.36 Sm.upf
Tm 168.93 Tm.upf
Bi 208.98 Bi.upf
Se 78.96 Se.upf
ATOMIC_POSITIONS angstrom
Sm 0.0000 0.0000 0.0000
Tm 0.0000 0.0000 3.6779
Bi 0.0000 0.0000 13.0633
Se 0.0000 0.0000 17.0479
CELL_PARAMETERS angstrom
2.0966 1.2105 7.5465
-2.0966 1.2105 7.5465
0.0000 -2.4210 7.5465
! Magnetic moment   0.6 μB/cell
! Raw formation energy   -1.18 eV per atom